Material: Pm2HgC
Method: DFT, PBE-GGA
State: relaxed

Cell lengths 5.259, 10.564, 7.396 Å; angles 90.00, 90.00, 90.00 degrees
Space group Ima2 (No. 46)
Unique sites:
Pm (0.250, 0.103, 0.000) [4 per cell]
Pm (0.250, 0.683, 0.156) [4 per cell]
Hg (0.250, 0.088, 0.436) [4 per cell]
C (0.250, 0.623, 0.469) [4 per cell]

Values from the calculation:
ΔE to the lowest computed polymorph   181 meV/atom
D(E_F)   2.69 states/eV/f.u.
Energy relative to the elements   -36 kJ/mol of formula units

---

Material: HAu
Method: DFT, PBE-GGA
State: relaxed

Cell lengths 5.624, 5.624, 3.054 Å; angles 90.00, 90.00, 90.00 degrees
Space group P4_2/mnm (No. 136)
Unique sites:
H (0.174, 0.174, 0.000) [4 per cell]
Au (0.193, 0.807, 0.000) [4 per cell]

Values from the calculation:
Total energy   -23.78 eV per cell
D(E_F)   0.11 states/eV/f.u.

---

Material: Na3NpF6
Method: DFT, PBE-GGA
State: relaxed

Cell lengths 5.7326, 5.7326, 11.6809 Å; angles 90.00, 90.00, 120.00 degrees
Space group P6_322 (No. 182)
Unique sites:
Na (0.0000, 0.0000, 0.0000) [2 per cell]
Na (0.3333, 0.6667, 0.0419) [4 per cell]
Np (0.3333, 0.6667, 0.7500) [2 per cell]
F (0.0414, 0.3599, 0.6174) [12 per cell]

Values from the calculation:
ΔE to the lowest computed polymorph   28 meV/atom
D(E_F)   8.54 states/eV/f.u.
Formation energy (no corrections)   -2.9583 eV/atom

---

Material: CeEr2Rh
Method: DFT, PBE-GGA
State: relaxed

Cell lengths 3.422, 3.422, 8.632 Å; angles 90.00, 90.00, 90.00 degrees
Space group P4/mmm (No. 123)
Unique sites:
Ce (0.000, 0.000, 0.000) [1 per cell]
Er (0.500, 0.500, 0.309) [2 per cell]
Rh (0.000, 0.000, 0.500) [1 per cell]

Values from the calculation:
ΔE to the lowest computed polymorph   72 meV/atom
D(E_F)   6.22 states/eV/f.u.
Energy relative to the elements   -158 kJ/mol of formula units

---

Material: Tb2Dy2Ho2Er
Method: DFT, PBE-GGA
State: relaxed

Cell lengths 5.6208, 5.6208, 24.2376 Å; angles 90.00, 90.00, 120.00 degrees
Space group R-3m (No. 166, hexagonal axes)
Unique sites:
Tb (0.0000, 0.0000, 0.1412) [6 per cell]
Dy (0.0000, 0.0000, 0.2856) [6 per cell]
Ho (0.0000, 0.0000, 0.4284) [6 per cell]
Er (0.0000, 0.0000, 0.0000) [3 per cell]

Values from the calculation:
D(E_F)   17.43 states/eV/f.u.
Energy relative to the elements   97 kJ/mol of formula units

---

Material: SmEr2Mg3
Method: DFT, PBE-GGA
State: relaxed

Cell lengths 3.790, 3.790, 11.378 Å; angles 90.00, 90.00, 90.00 degrees
Space group P4/mmm (No. 123)
Unique sites:
Sm (0.000, 0.000, 0.000) [1 per cell]
Er (0.000, 0.000, 0.337) [2 per cell]
Mg (0.500, 0.500, 0.174) [2 per cell]
Mg (0.500, 0.500, 0.500) [1 per cell]

Values from the calculation:
D(E_F)   8.26 states/eV/f.u.
Energy relative to the elements   -44 kJ/mol of formula units

---

Material: NaPtN2
Method: DFT, PBE-GGA
State: relaxed

Cell lengths 5.465, 5.465, 5.465 Å; angles 90.00, 90.00, 90.00 degrees
Space group Fm-3m (No. 225)
Unique sites:
Na (0.000, 0.000, 0.000) [4 per cell]
Pt (0.000, 0.000, 0.500) [4 per cell]
N (0.250, 0.250, 0.250) [8 per cell]

Values from the calculation:
ΔE to the lowest computed polymorph   1180 meV/atom
D(E_F)   1.28 states/eV/f.u.
Formation energy (no corrections)   1.1188 eV/atom

---

Material: LaFe2Sb
Method: DFT, PBE-GGA
State: relaxed

Cell lengths 7.694, 4.441, 5.683 Å; angles 90.00, 116.96, 90.00 degrees
Space group C2/m (No. 12)
Unique sites:
La (0.000, 0.000, 0.000) [2 per cell]
Fe (0.181, 0.000, 0.544) [4 per cell]
Sb (0.000, 0.500, 0.500) [2 per cell]

Values from the calculation:
D(E_F)   1.92 states/eV/f.u.
Formation energy (no corrections)   -0.1955 eV/atom

---

Material: NaTiSbTe2
Method: DFT, PBE-GGA
State: relaxed

Cell lengths 5.426, 5.426, 5.339 Å; angles 90.00, 90.00, 90.00 degrees
Space group P4/mmm (No. 123)
Unique sites:
Na (0.000, 0.000, 0.000) [1 per cell]
Ti (0.500, 0.500, 0.500) [1 per cell]
Sb (0.500, 0.500, 0.000) [1 per cell]
Te (0.000, 0.500, 0.500) [2 per cell]

Values from the calculation:
ΔE to the lowest computed polymorph   0 meV/atom
D(E_F)   4.70 states/eV/f.u.
Formation energy (no corrections)   -0.2885 eV/atom

---

Material: LaPu2ThSe4
Method: DFT, PBE-GGA
State: relaxed

Cell lengths 7.251, 4.167, 7.319 Å; angles 90.00, 109.09, 90.00 degrees
Space group P2/m (No. 10)
Unique sites:
La (0.000, 0.000, 0.000) [1 per cell]
Pu (0.000, 0.500, 0.500) [1 per cell]
Pu (0.500, 0.000, 0.500) [1 per cell]
Th (0.500, 0.500, 0.000) [1 per cell]
Se (0.249, 0.000, 0.740) [2 per cell]
Se (0.257, 0.500, 0.261) [2 per cell]

Values from the calculation:
D(E_F)   15.63 states/eV/f.u.
Formation energy (no corrections)   -1.6546 eV/atom

---

Material: NaCd2InHg4
Method: DFT, PBE-GGA
State: relaxed

Cell lengths 4.967, 4.967, 9.400 Å; angles 90.00, 90.00, 90.00 degrees
Space group P4/mmm (No. 123)
Unique sites:
Na (0.000, 0.000, 0.000) [1 per cell]
Cd (0.500, 0.500, 0.353) [2 per cell]
In (0.000, 0.000, 0.500) [1 per cell]
Hg (0.000, 0.500, 0.186) [4 per cell]

Values from the calculation:
D(E_F)   5.18 states/eV/f.u.
Energy relative to the elements   39 kJ/mol of formula units

---

Material: HfAsSe2N
Method: DFT, PBE-GGA
State: relaxed

Cell lengths 5.292, 5.292, 3.953 Å; angles 90.00, 90.00, 90.00 degrees
Space group P4/mmm (No. 123)
Unique sites:
Hf (0.000, 0.000, 0.000) [1 per cell]
As (0.500, 0.500, 0.500) [1 per cell]
Se (0.000, 0.500, 0.000) [2 per cell]
N (0.000, 0.000, 0.500) [1 per cell]

Values from the calculation:
ΔE to the lowest computed polymorph   0 meV/atom
D(E_F)   4.82 states/eV/f.u.
Formation energy (no corrections)   0.1124 eV/atom

---

D(E_F) of number 2 (HAu)? 0.11 states/eV/f.u.

---

Which formula does entry 9 have? NaTiSbTe2